La2S3 | meta-GGA SCAN | single point on PBEsol structure

Structure (CIF):
```
data_La2S3
_chemical_formula_sum 'La16 S24'
_cell_length_a 14.259
_cell_length_b 14.259
_cell_length_c 14.259
_cell_angle_alpha 144.80
_cell_angle_beta 144.80
_cell_angle_gamma 50.64
_space_group_name_H-M_alt 'P 1'
_space_group_IT_number 1
loop_
_space_group_symop_operation_xyz
'x,y,z'
loop_
_atom_site_label
_atom_site_fract_x
_atom_site_fract_y
_atom_site_fract_z
La1 0.047 0.428 0.896
La2 0.166 0.166 0.000
La3 0.178 0.297 0.396
La4 0.218 0.822 0.119
La5 0.255 0.125 0.630
La6 0.375 0.745 0.870
La7 0.495 0.625 0.370
La8 0.532 0.151 0.104
La9 0.572 0.468 0.619
La10 0.584 0.084 0.500
La11 0.703 0.099 0.881
La12 0.834 0.834 0.000
La13 0.849 0.953 0.381
La14 0.875 0.505 0.130
La15 0.901 0.782 0.604
La16 0.916 0.416 0.500
S1 0.007 0.106 0.248
S2 0.071 0.826 0.605
S3 0.174 0.779 0.245
S4 0.182 0.597 0.748
S5 0.185 0.099 0.752
S6 0.216 0.471 0.895
S7 0.221 0.466 0.395
S8 0.241 0.993 0.099
S9 0.347 0.432 0.248
S10 0.403 0.151 0.585
S11 0.509 0.108 0.252
S12 0.529 0.424 0.745
S13 0.534 0.929 0.755
S14 0.565 0.818 0.415
S15 0.568 0.815 0.915
S16 0.576 0.321 0.105
S17 0.679 0.784 0.255
S18 0.743 0.491 0.599
S19 0.849 0.435 0.252
S20 0.856 0.257 0.748
S21 0.858 0.759 0.752
S22 0.892 0.144 0.401
S23 0.894 0.142 0.901
S24 0.901 0.653 0.085
```

As for the space group: I-42d. The raw formation energy is -240.1 kJ/mol of atoms.